[1]
Compound: NaMgGaHg
Source: Alexandria
Functional: PBE
Structure: optimized geometry

## Properties
For the density of states at the Fermi level, the calculation gives 0.199 states/eV/atom. The energy above the most stable polymorph in this dataset is 0.0 kJ/mol of atoms. As for the uncorrected energy: -1.723 eV/atom. The value obtained for the energy of formation is -0.162 eV per atom.

```
NaMgGaHg
1.0
3.2026 0.0000 0.0000
0.0000 3.2026 0.0000
0.0000 0.0000 8.6887
Na Mg Ga Hg
1 1 1 1
direct
0.0000 0.0000 0.0000
0.0000 0.0000 0.4751
0.5000 0.5000 0.2606
0.5000 0.5000 0.7246
```

***

[2]
Compound: NaMgGaHg
Source: Alexandria
Functional: PBE
Structure: optimized geometry

## Properties
For the density of states at the Fermi level, the calculation gives 0.418 states/eV/atom. The energy above the most stable polymorph in this dataset is 4.7 kJ/mol of atoms. As for the uncorrected energy: -1.674 eV/atom. The value obtained for the energy of formation is -0.113 eV per atom.

```
NaMgGaHg
1.0
7.0465 0.0000 0.0000
0.0000 7.0465 0.0000
0.0000 0.0000 7.0465
Na Mg Ga Hg
4 4 4 4
direct
0.0000 0.0000 0.0000
0.0000 0.5000 0.5000
0.5000 0.0000 0.5000
0.5000 0.5000 0.0000
0.0000 0.0000 0.5000
0.0000 0.5000 0.0000
0.5000 0.0000 0.0000
0.5000 0.5000 0.5000
0.2500 0.2500 0.7500
0.2500 0.7500 0.2500
0.7500 0.2500 0.2500
0.7500 0.7500 0.7500
0.2500 0.2500 0.2500
0.2500 0.7500 0.7500
0.7500 0.2500 0.7500
0.7500 0.7500 0.2500
```

***

[3]
Compound: NdMgGaHg
Source: Alexandria
Functional: PBE
Structure: optimized geometry

## Properties
For the density of states at the Fermi level, the calculation gives 0.356 states/eV/atom. As for the uncorrected energy: -2.866 eV/atom. The value obtained for the energy of formation is -0.443 eV per atom.

```
NdMgGaHg
1.0
7.2323 0.0000 0.0000
0.0000 7.2323 0.0000
0.0000 0.0000 7.2323
Nd Mg Ga Hg
4 4 4 4
direct
0.0000 0.0000 0.0000
0.0000 0.5000 0.5000
0.5000 0.0000 0.5000
0.5000 0.5000 0.0000
0.0000 0.0000 0.5000
0.0000 0.5000 0.0000
0.5000 0.0000 0.0000
0.5000 0.5000 0.5000
0.2500 0.2500 0.2500
0.2500 0.7500 0.7500
0.7500 0.2500 0.7500
0.7500 0.7500 0.2500
0.2500 0.2500 0.7500
0.2500 0.7500 0.2500
0.7500 0.2500 0.2500
0.7500 0.7500 0.7500
```

***

[4]
Compound: MgGaNi2Hg
Source: Alexandria
Functional: PBE
Structure: optimized geometry

## Properties
For the density of states at the Fermi level, the calculation gives 0.728 states/eV/atom. As for the uncorrected energy: -2.406 eV/atom. The value obtained for the energy of formation is 0.891 eV per atom.

```
MgGaNi2Hg
1.0
4.5239 0.0000 0.0000
0.0000 4.5239 0.0000
0.0000 0.0000 4.8519
Mg Ga Ni Hg
1 1 2 1
direct
0.0000 0.0000 0.0000
0.0000 0.0000 0.5000
0.0000 0.5000 0.0000
0.5000 0.0000 0.0000
0.5000 0.5000 0.5000
```

***

[5]
Compound: MgGa2NiHg
Source: Alexandria
Functional: PBE
Structure: optimized geometry

## Properties
For the density of states at the Fermi level, the calculation gives 0.256 states/eV/atom. As for the uncorrected energy: -2.886 eV/atom. The value obtained for the energy of formation is -0.140 eV per atom.

```
MgGa2NiHg
1.0
4.5666 0.0000 0.0000
0.0000 4.5666 0.0000
0.0000 0.0000 5.0033
Mg Ga Ni Hg
1 2 1 1
direct
0.0000 0.0000 0.0000
0.0000 0.5000 0.5000
0.5000 0.0000 0.5000
0.0000 0.0000 0.5000
0.5000 0.5000 0.0000
```

***

[6]
Compound: MgNpGaHg
Source: Alexandria
Functional: PBE
Structure: optimized geometry

## Properties
For the density of states at the Fermi level, the calculation gives 2.037 states/eV/atom. As for the uncorrected energy: -4.488 eV/atom. The value obtained for the energy of formation is -0.022 eV per atom.

```
MgNpGaHg
1.0
7.1085 0.0000 0.0000
0.0000 7.1085 0.0000
0.0000 0.0000 7.1085
Mg Np Ga Hg
4 4 4 4
direct
0.0000 0.0000 0.0000
0.0000 0.5000 0.5000
0.5000 0.0000 0.5000
0.5000 0.5000 0.0000
0.0000 0.0000 0.5000
0.0000 0.5000 0.0000
0.5000 0.0000 0.0000
0.5000 0.5000 0.5000
0.2500 0.2500 0.2500
0.2500 0.7500 0.7500
0.7500 0.2500 0.7500
0.7500 0.7500 0.2500
0.2500 0.2500 0.7500
0.2500 0.7500 0.2500
0.7500 0.2500 0.2500
0.7500 0.7500 0.7500
```

***

[7]
Compound: MgGa2HgOs
Source: Alexandria
Functional: PBE
Structure: optimized geometry

## Properties
For the density of states at the Fermi level, the calculation gives 1.047 states/eV/atom. As for the uncorrected energy: -2.354 eV/atom. The value obtained for the energy of formation is 1.482 eV per atom.

```
MgGa2HgOs
1.0
4.9293 0.0000 0.0000
0.0000 4.9293 0.0000
0.0000 0.0000 5.0402
Mg Ga Hg Os
1 2 1 1
direct
0.0000 0.0000 0.0000
0.0000 0.5000 0.0000
0.5000 0.0000 0.0000
0.0000 0.0000 0.5000
0.5000 0.5000 0.5000
```

***

[8]
Compound: MgGaHg2Os
Source: Alexandria
Functional: PBE
Structure: optimized geometry

## Properties
For the density of states at the Fermi level, the calculation gives 0.502 states/eV/atom. As for the uncorrected energy: -2.610 eV/atom. The value obtained for the energy of formation is 0.681 eV per atom.

```
MgGaHg2Os
1.0
5.2565 0.0000 0.0000
0.0000 5.2565 0.0000
0.0000 0.0000 4.9889
Mg Ga Hg Os
1 1 2 1
direct
0.0000 0.0000 0.0000
0.5000 0.5000 0.0000
0.0000 0.5000 0.5000
0.5000 0.0000 0.5000
0.0000 0.0000 0.5000
```

***

[9]
Compound: MgGaHgPd
Source: Alexandria
Functional: PBE
Structure: optimized geometry

## Properties
For the density of states at the Fermi level, the calculation gives 0.372 states/eV/atom. As for the uncorrected energy: -2.824 eV/atom. The value obtained for the energy of formation is -0.295 eV per atom.

```
MgGaHgPd
1.0
6.5768 0.0000 0.0000
0.0000 6.5768 0.0000
0.0000 0.0000 6.5768
Mg Ga Hg Pd
4 4 4 4
direct
0.0000 0.0000 0.0000
0.0000 0.5000 0.5000
0.5000 0.0000 0.5000
0.5000 0.5000 0.0000
0.0000 0.0000 0.5000
0.0000 0.5000 0.0000
0.5000 0.0000 0.0000
0.5000 0.5000 0.5000
0.2500 0.2500 0.7500
0.2500 0.7500 0.2500
0.7500 0.2500 0.2500
0.7500 0.7500 0.7500
0.2500 0.2500 0.2500
0.2500 0.7500 0.7500
0.7500 0.2500 0.7500
0.7500 0.7500 0.2500
```

***

[10]
Compound: Mg2Ga2HgPd5
Source: Alexandria
Functional: PBE
Structure: optimized geometry

## Properties
For the density of states at the Fermi level, the calculation gives 0.237 states/eV/atom. As for the uncorrected energy: -4.081 eV/atom. The value obtained for the energy of formation is -0.530 eV per atom.

```
Mg2Ga2HgPd5
1.0
9.5459 0.0000 0.0000
0.0000 9.5459 0.0000
0.0000 0.0000 3.7478
Mg Ga Hg Pd
4 4 2 10
direct
0.1728 0.3272 0.0000
0.3272 0.8272 0.0000
0.6728 0.1728 0.0000
0.8272 0.6728 0.0000
0.1254 0.6254 0.0000
0.3746 0.1254 0.0000
0.6254 0.8746 0.0000
0.8746 0.3746 0.0000
0.0000 0.0000 0.0000
0.5000 0.5000 0.0000
0.0000 0.5000 0.5000
0.0782 0.7955 0.5000
0.2045 0.0782 0.5000
0.2955 0.5782 0.5000
0.4218 0.2955 0.5000
0.5000 0.0000 0.5000
0.5782 0.7045 0.5000
0.7045 0.4218 0.5000
0.7955 0.9218 0.5000
0.9218 0.2045 0.5000
```

***

[11]
Compound: Mg5GaHg2Pd2
Source: Alexandria
Functional: PBE
Structure: optimized geometry

## Properties
For the density of states at the Fermi level, the calculation gives 0.309 states/eV/atom. As for the uncorrected energy: -2.509 eV/atom. The value obtained for the energy of formation is -0.310 eV per atom.

```
Mg5GaHg2Pd2
1.0
10.5977 0.0000 0.0000
0.0000 10.5977 0.0000
0.0000 0.0000 3.5929
Mg Ga Hg Pd
10 2 4 4
direct
0.0000 0.5000 0.0000
0.0857 0.1937 0.0000
0.1937 0.9143 0.0000
0.3063 0.4143 0.0000
0.4143 0.6937 0.0000
0.5000 0.0000 0.0000
0.5857 0.3063 0.0000
0.6937 0.5857 0.0000
0.8063 0.0857 0.0000
0.9143 0.8063 0.0000
0.0000 0.0000 0.5000
0.5000 0.5000 0.5000
0.1660 0.6660 0.5000
0.3340 0.1660 0.5000
0.6660 0.8340 0.5000
0.8340 0.3340 0.5000
0.1305 0.3695 0.5000
0.3695 0.8695 0.5000
0.6305 0.1305 0.5000
0.8695 0.6305 0.5000
```

***

[12]
Compound: MgGa2HgPd
Source: Alexandria
Functional: PBE
Structure: optimized geometry

## Properties
For the density of states at the Fermi level, the calculation gives 0.316 states/eV/atom. As for the uncorrected energy: -2.831 eV/atom. The value obtained for the energy of formation is -0.202 eV per atom.

```
MgGa2HgPd
1.0
4.8129 0.0000 0.0000
0.0000 4.8129 0.0000
0.0000 0.0000 5.1464
Mg Ga Hg Pd
1 2 1 1
direct
0.0000 0.0000 0.0000
0.0000 0.5000 0.5000
0.5000 0.0000 0.5000
0.5000 0.5000 0.0000
0.0000 0.0000 0.5000
```

***

[13]
Compound: PmMg2GaHg4
Source: Alexandria
Functional: PBE
Structure: optimized geometry

## Properties
For the density of states at the Fermi level, the calculation gives 0.329 states/eV/atom. As for the uncorrected energy: -1.787 eV/atom. The value obtained for the energy of formation is -0.265 eV per atom.

```
PmMg2GaHg4
1.0
2.4710 1.4266 8.7860
-2.4710 1.4266 8.7860
0.0000 -2.8532 8.7860
Pm Mg Ga Hg
1 2 1 4
direct
0.0000 0.0000 0.0000
0.2450 0.2450 0.2450
0.7550 0.7550 0.7550
0.5000 0.5000 0.5000
0.1253 0.1253 0.1253
0.3848 0.3848 0.3848
0.6152 0.6152 0.6152
0.8747 0.8747 0.8747
```